1.
Material: HfBBr2
Method: DFT, PBE-GGA
State: relaxed

Cell lengths 7.367, 7.367, 6.050 Å; angles 52.49, 52.49, 90.00 degrees
Atoms (fractional coordinates):
B 0.250 0.750 0.500
B 0.500 0.500 0.000
Br 0.375 0.373 0.750
Br 0.627 0.125 0.250
Br 0.123 0.625 0.250
Br 0.875 0.877 0.750
Hf 0.750 0.250 0.500
Hf 0.000 0.000 0.000

Results
The calculation puts the formation energy from raw total energies at 76 kJ/mol of atoms. Its total energy is -4.20 eV per atom. Its mass density is 6.94 g/cm3.

***

2.
Material: HfBBr2
Method: DFT, PBE-GGA
State: relaxed

Cell lengths 4.701, 4.701, 4.701 Å; angles 60.00, 60.00, 60.00 degrees
Atoms (fractional coordinates):
B 0.000 0.000 0.000
Br 0.250 0.250 0.250
Br 0.750 0.750 0.750
Hf 0.500 0.500 0.500

Results
The calculation puts the formation energy from raw total energies at 71 kJ/mol of atoms. Its total energy is -4.26 eV per atom. Its mass density is 7.89 g/cm3.

***

3.
Material: HfBBr2
Method: DFT, PBE-GGA
State: relaxed

Cell lengths 8.749, 8.749, 8.749 Å; angles 23.03, 23.03, 23.03 degrees
Atoms (fractional coordinates):
B 0.500 0.500 0.500
Br 0.898 0.898 0.898
Br 0.102 0.102 0.102
Hf 0.000 0.000 0.000

Results
The calculation puts the formation energy from raw total energies at 74 kJ/mol of atoms. Its total energy is -4.23 eV per atom. Its mass density is 6.44 g/cm3.

***

4.
Material: HfB2Br
Method: DFT, PBE-GGA
State: relaxed

Cell lengths 5.827, 5.827, 5.560 Å; angles 58.40, 58.40, 90.00 degrees
Atoms (fractional coordinates):
Br 0.250 0.750 0.500
Br 0.500 0.500 0.000
B 0.875 0.841 0.750
B 0.375 0.409 0.750
B 0.159 0.625 0.250
B 0.591 0.125 0.250
Hf 0.000 0.000 0.000
Hf 0.750 0.250 0.500

Results
The calculation puts the formation energy from raw total energies at 116 kJ/mol of atoms. Its total energy is -5.04 eV per atom. Its mass density is 7.34 g/cm3.

***

5.
Material: HfBBr
Method: DFT, PBE-GGA
State: relaxed

Cell lengths 3.668, 3.756, 10.995 Å; angles 85.81, 80.40, 60.77 degrees
Atoms (fractional coordinates):
B 0.554 0.340 0.553
B 0.446 0.660 0.447
Br 0.258 0.299 0.186
Br 0.742 0.701 0.814
Hf 0.183 0.996 0.638
Hf 0.817 0.004 0.362

Results
The calculation puts the formation energy from raw total energies at -62 kJ/mol of atoms. Its total energy is -6.74 eV per atom. Its mass density is 6.86 g/cm3.

***

6.
Material: Hf2BIrBr
Method: DFT, PBE-GGA
State: relaxed

Cell lengths 5.135, 4.013, 5.135 Å; angles 90.00, 90.00, 90.00 degrees
Atoms (fractional coordinates):
B 0.000 0.500 0.000
Br 0.500 0.500 0.500
Hf 0.500 0.000 0.000
Hf 0.000 0.000 0.500
Ir 0.000 0.000 0.000

Results
The calculation puts the formation energy from raw total energies at 14 kJ/mol of atoms. Its total energy is -7.28 eV per atom. Its mass density is 10.04 g/cm3.

***

7.
Material: La2HfBBr
Method: DFT, PBE-GGA
State: relaxed

Cell lengths 5.805, 4.985, 5.805 Å; angles 90.00, 90.00, 90.00 degrees
Each line ends with the local moment (μB).
Atoms (fractional coordinates):
Hf 0.000 0.000 0.000  -0.03
La 0.500 0.000 0.000  0.10
La 0.000 0.000 0.500  0.08
Br 0.000 0.500 0.000  0.04
B 0.500 0.500 0.500  0.38

Results
The calculation puts the formation energy from raw total energies at 105 kJ/mol of atoms. Its total energy is -4.55 eV per atom. Its mass density is 5.41 g/cm3.

***

8.
Material: Hf2MgBBr
Method: DFT, PBE-GGA
State: relaxed

Cell lengths 4.540, 5.442, 4.540 Å; angles 90.00, 90.00, 90.00 degrees
Atoms (fractional coordinates):
Br 0.000 0.500 0.000
Hf 0.500 0.000 0.000
Hf 0.000 0.000 0.500
B 0.000 0.000 0.000
Mg 0.500 0.500 0.500

Results
The calculation puts the formation energy from raw total energies at 45 kJ/mol of atoms. Its total energy is -5.51 eV per atom. Its mass density is 6.99 g/cm3.

***

9.
Material: HfB2MoBr
Method: DFT, PBE-GGA
State: relaxed

Cell lengths 4.308, 4.308, 5.021 Å; angles 90.00, 90.00, 90.00 degrees
Atoms (fractional coordinates):
Br 0.000 0.000 0.500
B 0.500 0.000 0.000
B 0.000 0.500 0.000
Mo 0.500 0.500 0.500
Hf 0.000 0.000 0.000

Results
The calculation puts the formation energy from raw total energies at 176 kJ/mol of atoms. Its total energy is -5.34 eV per atom. Its mass density is 6.70 g/cm3.

***

10.
Material: Na2HfBBr
Method: DFT, PBE-GGA
State: relaxed

Cell lengths 4.858, 5.641, 4.858 Å; angles 90.00, 90.00, 90.00 degrees
Atoms (fractional coordinates):
Na 0.000 0.000 0.500
Na 0.500 0.000 0.000
Hf 0.500 0.500 0.500
B 0.000 0.500 0.000
Br 0.000 0.000 0.000

Results
The calculation puts the formation energy from raw total energies at 121 kJ/mol of atoms. Its total energy is -2.93 eV per atom. Its mass density is 3.93 g/cm3.

***

11.
Material: HfBPdBr2
Method: DFT, PBE-GGA
State: relaxed

Cell lengths 4.965, 5.275, 4.965 Å; angles 90.00, 90.00, 90.00 degrees
Atoms (fractional coordinates):
B 0.500 0.500 0.500
Pd 0.000 0.000 0.000
Br 0.000 0.000 0.500
Br 0.500 0.000 0.000
Hf 0.000 0.500 0.000

Results
The calculation puts the formation energy from raw total energies at 118 kJ/mol of atoms. Its total energy is -3.81 eV per atom. Its mass density is 5.82 g/cm3.

***

12.
Material: RbHfB2Br
Method: DFT, PBE-GGA
State: relaxed

Cell lengths 4.522, 13.094, 4.522 Å; angles 90.00, 90.00, 90.00 degrees
Atoms (fractional coordinates):
Hf 0.000 0.000 0.000
Rb 0.000 0.500 0.000
B 0.000 0.000 0.500
B 0.500 0.000 0.000
Br 0.500 0.500 0.500

Results
The calculation puts the formation energy from raw total energies at 96 kJ/mol of atoms. Its total energy is -4.20 eV per atom. Its mass density is 2.27 g/cm3.